Entry 1:
# Pm3HoHg12

An optimized crystal structure of Pm3HoHg12 (PBE, Alexandria via LeMat-Bulk).

Computed properties:
Theoretical density: 12.305 g/cm³
Energy of formation: -0.3356 eV/atom
Energy: -1.739 eV per atom
Density of states at the Fermi level: 0.81 states/eV/atom

a = 4.5973 Å, b = 4.5973 Å, c = 19.1995 Å
α = 90.00°, β = 90.00°, γ = 90.00°
Sites, in units of the cell vectors:
1 Pm 0.0000 0.0000 0.0000
2 Pm 0.0000 0.0000 0.2528
3 Pm 0.0000 0.0000 0.7472
4 Ho 0.0000 0.0000 0.5000
5 Hg 0.0000 0.5000 0.1261
6 Hg 0.0000 0.5000 0.3783
7 Hg 0.0000 0.5000 0.6217
8 Hg 0.0000 0.5000 0.8739
9 Hg 0.5000 0.0000 0.1261
10 Hg 0.5000 0.0000 0.3783
11 Hg 0.5000 0.0000 0.6217
12 Hg 0.5000 0.0000 0.8739
13 Hg 0.5000 0.5000 0.0000
14 Hg 0.5000 0.5000 0.2521
15 Hg 0.5000 0.5000 0.5000
16 Hg 0.5000 0.5000 0.7479

***

Entry 2:
# Nd2Ho3Er8

An optimized crystal structure of Nd2Ho3Er8 (PBE, Alexandria via LeMat-Bulk).

Computed properties:
Theoretical density: 8.190 g/cm³
Energy of formation: 0.2450 eV/atom
Energy: -4.353 eV per atom
Density of states at the Fermi level: 1.71 states/eV/atom

a = 11.0180 Å, b = 11.0180 Å, c = 5.4953 Å
α = 90.00°, β = 90.00°, γ = 139.85°
Sites, in units of the cell vectors:
1 Nd 0.2404 0.7596 0.0000
2 Nd 0.7596 0.2404 0.0000
3 Ho 0.0000 0.0000 0.0000
4 Ho 0.2862 0.2862 0.5000
5 Ho 0.7138 0.7138 0.5000
6 Er 0.1280 0.8720 0.5000
7 Er 0.1796 0.3932 0.0000
8 Er 0.3392 0.6608 0.5000
9 Er 0.3932 0.1796 0.0000
10 Er 0.6068 0.8204 0.0000
11 Er 0.6608 0.3392 0.5000
12 Er 0.8204 0.6068 0.0000
13 Er 0.8720 0.1280 0.5000

***

Entry 3:
# La5Pm4Er

An optimized crystal structure of La5Pm4Er (PBE, Alexandria via LeMat-Bulk).

Computed properties:
Theoretical density: 6.685 g/cm³
E above lowest polymorph: 9.8 kJ/mol of atoms
Energy of formation: 0.1216 eV/atom
Energy: -4.699 eV per atom
Density of states at the Fermi level: 1.57 states/eV/atom

a = 6.6319 Å, b = 6.8787 Å, c = 8.4824 Å
α = 78.43°, β = 70.87°, γ = 86.90°
Sites, in units of the cell vectors:
1 La 0.0000 0.0000 0.0000
2 La 0.1021 0.7661 0.4472
3 La 0.3477 0.3662 0.6989
4 La 0.6523 0.6338 0.3011
5 La 0.8979 0.2339 0.5528
6 Pm 0.2141 0.4789 0.1064
7 Pm 0.4687 0.8342 0.6773
8 Pm 0.5313 0.1658 0.3227
9 Pm 0.7859 0.5211 0.8936
10 Er 0.5000 0.0000 0.0000

***

Entry 4:
# Pm12ScTl3

An optimized crystal structure of Pm12ScTl3 (PBE, Alexandria via LeMat-Bulk).

Computed properties:
Theoretical density: 8.051 g/cm³
Energy of formation: -0.1394 eV/atom
Energy: -4.542 eV per atom
Density of states at the Fermi level: 1.43 states/eV/atom

a = 4.9585 Å, b = 4.9585 Å, c = 20.1176 Å
α = 90.00°, β = 90.00°, γ = 90.00°
Sites, in units of the cell vectors:
1 Pm 0.0000 0.0000 0.0000
2 Pm 0.0000 0.0000 0.2492
3 Pm 0.0000 0.0000 0.5000
4 Pm 0.0000 0.0000 0.7508
5 Pm 0.0000 0.5000 0.1245
6 Pm 0.0000 0.5000 0.3737
7 Pm 0.0000 0.5000 0.6263
8 Pm 0.0000 0.5000 0.8755
9 Pm 0.5000 0.0000 0.1245
10 Pm 0.5000 0.0000 0.3737
11 Pm 0.5000 0.0000 0.6263
12 Pm 0.5000 0.0000 0.8755
13 Sc 0.5000 0.5000 0.5000
14 Tl 0.5000 0.5000 0.0000
15 Tl 0.5000 0.5000 0.2458
16 Tl 0.5000 0.5000 0.7542

***

Entry 5:
# Co4AgSe

An optimized crystal structure of Co4AgSe (PBE, Alexandria via LeMat-Bulk).

Computed properties:
ΔE_f (raw): 0.4081 eV per atom
Theoretical density: 8.513 g/cm³
Energy: -5.385 eV per atom
Density of states at the Fermi level: 1.10 states/eV/atom

a = 4.8850 Å, b = 4.8850 Å, c = 4.8850 Å
α = 60.00°, β = 60.00°, γ = 60.00°
Sites, in units of the cell vectors:
1 Co 0.1251 0.1251 0.1251
2 Co 0.1251 0.1251 0.6246
3 Co 0.1251 0.6246 0.1251
4 Co 0.6246 0.1251 0.1251
5 Ag 0.5000 0.5000 0.5000
6 Se 0.7500 0.7500 0.7500

***

Entry 6:
# Fe2HgPt

An optimized crystal structure of Fe2HgPt (PBE, Alexandria via LeMat-Bulk).

Computed properties:
Theoretical density: 13.818 g/cm³
Energy of formation: 0.1610 eV/atom
Energy: -5.656 eV per atom
Density of states at the Fermi level: 0.98 states/eV/atom

a = 4.8662 Å, b = 4.8662 Å, c = 4.8662 Å
α = 134.96°, β = 130.37°, γ = 69.25°
Sites, in units of the cell vectors:
1 Fe 0.0000 0.0000 0.0000
2 Fe 0.7790 0.2790 0.5000
3 Hg 0.2566 0.7566 0.5000
4 Pt 0.5169 0.5169 0.0000

***

Q: Which of these has the lowest density of states at the Fermi level?
A: Pm3HoHg12